(1)
The following is a DFT calculation (meta-GGA SCAN) of KTcSb2 at its PBEsol-relaxed geometry.

The structure in POSCAR format:
```
KTcSb2
1.0
-2.350 -0.249 -2.279
0.130 -3.509 0.249
-5.009 2.099 7.300
Sb Tc K
2 1 1
direct
0.024 0.024 0.047
0.835 0.335 0.669
0.452 0.452 0.905
0.189 0.689 0.379
```

Output
**Magnetization**: 0.0 μB/f.u.
**Formation energy (no corrections)**: -0.06 eV per atom
**DOS at the Fermi energy**: 3.4 states/eV per cell
**SG**: Imm2 (44)


(2)
The following is a DFT calculation (meta-GGA SCAN) of TiS2O8 at its PBEsol-relaxed geometry.

The structure in POSCAR format:
```
TiS2O8
1.0
8.284 0.000 0.000
4.142 7.174 0.000
4.142 2.391 7.680
O S Ti
24 6 3
direct
0.028 0.986 0.309
0.313 0.926 0.678
0.926 0.082 0.678
0.779 0.625 0.224
0.986 0.677 0.309
0.992 0.354 0.393
0.422 0.578 0.797
0.135 0.513 0.093
0.856 0.477 0.896
0.016 0.655 0.604
0.477 0.770 0.896
0.513 0.259 0.093
0.372 0.779 0.224
0.625 0.372 0.224
0.259 0.135 0.093
0.082 0.313 0.678
0.770 0.856 0.896
0.262 0.992 0.393
0.578 0.204 0.797
0.725 0.016 0.604
0.677 0.028 0.309
0.204 0.422 0.797
0.655 0.725 0.604
0.354 0.262 0.393
0.241 0.962 0.252
0.546 0.241 0.252
0.470 0.750 0.752
0.962 0.546 0.252
0.028 0.470 0.752
0.750 0.028 0.752
0.351 0.351 0.948
0.152 0.152 0.545
0.851 0.851 0.448
```

Output
**Magnetization**: 0.0 μB/f.u.
**Formation energy (no corrections)**: -1.94 eV per atom
**DOS at the Fermi energy**: 0.0 states/eV per cell
**SG**: R3 (146)


(3)
The following is a DFT calculation (meta-GGA SCAN) of Co2MoAs at its PBEsol-relaxed geometry.

The structure in POSCAR format:
```
Co2MoAs
1.0
2.716 0.000 0.000
1.358 2.352 0.000
1.358 0.784 7.888
Co Mo As
2 1 1
direct
0.255 0.255 0.236
0.745 0.745 0.764
0.500 0.500 0.500
0.000 0.000 0.000
```

Output
**Magnetization**: 2.1 μB/f.u.
**DOS at the Fermi energy**: 4.0 states/eV per cell
**ΔH_f (0 K)**: 306 meV per atom
**SG**: R-3m (166)